VASP calculation (PBE with a Hubbard U) on a relaxed Rb3V2CdF9 crystal.

Summary:
For the density, the calculation gives 4332 kg/m³. The total energy comes out at -75.4 eV/cell. As for the crystal system: trigonal. As for the volume: 16.4 Å³ per atom. Its space-group type is P-3m1.

```
data_Rb3V2CdF9
_chemical_formula_sum 'Rb3 V2 Cd1 F9'
_space_group_name_H-M_alt 'P 1'
_space_group_IT_number 1
_cell_length_a 6.1406
_cell_length_b 6.1406
_cell_length_c 7.5321
_cell_angle_alpha 90.00
_cell_angle_beta 90.00
_cell_angle_gamma 120.00
loop_
_space_group_symop_operation_xyz
'x,y,z'
loop_
_atom_site_label
_atom_site_fract_x
_atom_site_fract_y
_atom_site_fract_z
Rb1 0.0000 0.0000 0.0000
Rb2 0.3333 0.6667 0.6688
Rb3 0.6667 0.3333 0.3312
V1 0.3333 0.6667 0.1596
V2 0.6667 0.3333 0.8404
Cd1 0.0000 0.0000 0.5000
F1 0.0000 0.5000 0.0000
F2 0.1717 0.3434 0.3252
F3 0.1717 0.8283 0.3252
F4 0.3434 0.1717 0.6748
F5 0.5000 0.0000 0.0000
F6 0.5000 0.5000 0.0000
F7 0.6566 0.8283 0.3252
F8 0.8283 0.1717 0.6748
F9 0.8283 0.6566 0.6748
```